# 1
A relaxed structure of ZnTcRhW. Source: the Alexandria database, functional PBE.

Calculated values
The total energy is -8.10 eV/atom. The formation energy comes out at -0.112 eV per atom.

Structure (POSCAR):
```
ZnTcRhW
1.0
0.0000 3.0831 3.0831
3.0831 0.0000 3.0831
3.0831 3.0831 0.0000
Zn Tc Rh W
1 1 1 1
Direct
0.0000 0.0000 0.0000
0.7500 0.7500 0.7500
0.2500 0.2500 0.2500
0.5000 0.5000 0.5000
```

---

# 2
A relaxed structure of CdSbRh2. Source: the Alexandria database, functional PBE.

Calculated values
The total energy is -4.82 eV/atom. The formation energy (no corrections) is 0.4 eV per formula unit.

Structure (POSCAR):
```
CdSbRh2
1.0
0.0000 3.2848 3.2848
3.2848 0.0000 3.2848
3.2848 3.2848 0.0000
Cd Sb Rh
1 1 2
Direct
0.0000 0.0000 0.0000
0.2500 0.2500 0.2500
0.5000 0.5000 0.5000
0.7500 0.7500 0.7500
```

---

# 3
A relaxed structure of MnCr4Sb. Source: the Alexandria database, functional PBE.

Calculated values
The total energy is -8.34 eV/atom. The formation energy (no corrections) is 1.7 eV per formula unit.

Structure (POSCAR):
```
MnCr4Sb
1.0
0.0000 3.4270 3.4270
3.4270 0.0000 3.4270
3.4270 3.4270 0.0000
Mn Cr Sb
1 4 1
Direct
0.0000 0.0000 0.0000
0.1235 0.6255 0.6255
0.6255 0.1235 0.6255
0.6255 0.6255 0.1235
0.6255 0.6255 0.6255
0.2500 0.2500 0.2500
```

---

# 4
A relaxed structure of CdInPb4. Source: the Alexandria database, functional PBE.

Calculated values
The total energy is -2.90 eV/atom. For the excess energy over the best structure of this formula in the dataset, the calculation gives 159 meV/atom. The formation energy comes out at 0.183 eV per atom.

Structure (POSCAR):
```
CdInPb4
1.0
0.0000 4.6136 4.6136
4.6136 0.0000 4.6136
4.6136 4.6136 0.0000
Cd In Pb
1 1 4
Direct
0.0000 0.0000 0.0000
0.7500 0.7500 0.7500
0.3751 0.3751 0.3751
0.3751 0.3751 0.8748
0.3751 0.8748 0.3751
0.8748 0.3751 0.3751
```

---

# 5
A relaxed structure of Pm8DyTm4. Source: the Alexandria database, functional PBE.

Calculated values
The total energy is -4.45 eV/atom. The formation energy comes out at 0.199 eV per atom.

Structure (POSCAR):
```
Pm8DyTm4
1.0
3.6206 2.0904 9.5282
-3.6206 2.0904 9.5282
0.0000 -4.1807 9.5282
Pm Dy Tm
8 1 4
Direct
0.2061 0.7513 0.7513
0.2132 0.2132 0.2132
0.2487 0.2487 0.7939
0.2487 0.7939 0.2487
0.7513 0.2061 0.7513
0.7513 0.7513 0.2061
0.7868 0.7868 0.7868
0.7939 0.2487 0.2487
0.5000 0.5000 0.5000
0.0000 0.0000 0.0000
0.0000 0.5000 0.5000
0.5000 0.0000 0.5000
0.5000 0.5000 0.0000
```

---

# 6
A relaxed structure of Zr2Ge2W. Source: the Alexandria database, functional PBE.

Calculated values
The total energy is -8.45 eV/atom. For the excess energy over the best structure of this formula in the dataset, the calculation gives 0 meV/atom. The formation energy comes out at -0.588 eV per atom.

Structure (POSCAR):
```
Zr2Ge2W
1.0
6.8561 0.0000 0.0000
0.0000 6.8561 0.0000
0.0000 0.0000 3.8336
Zr Ge W
4 4 2
Direct
0.1727 0.3273 0.0000
0.3273 0.8273 0.0000
0.6727 0.1727 0.0000
0.8273 0.6727 0.0000
0.1324 0.6324 0.5000
0.3676 0.1324 0.5000
0.6324 0.8676 0.5000
0.8676 0.3676 0.5000
0.0000 0.0000 0.5000
0.5000 0.5000 0.5000
```

---

> What is the formula in the second record?

CdSbRh2

---

> Number 6 is which compound?

Zr2Ge2W

---

> Which value of total energy does entry 5 give?

-4.45 eV/atom

---

> What is the formula in the first record?

ZnTcRhW